The following is a PBE-GGA calculation of a relaxed structure of MnCrRu2, from Alexandria via LeMat-Bulk.

Computed properties:
Fermi-level density of states: 5.44 states/eV per cell
ΔE_f: 0.4 eV/f.u.
DFT total energy: -9.24 eV/atom
crystal system: tetragonal
spin magnetization: 1.16 μB per formula unit

Lattice parameters (Å, degrees): 4.4989 4.4989 4.4989 130.38 130.38 72.80
Sites, in units of the cell vectors:
1 Mn 0.0000 0.0000 0.0000
2 Cr 0.5000 0.5000 0.0000
3 Ru 0.2500 0.7500 0.5000
4 Ru 0.7500 0.2500 0.5000